Here is a relaxed K2Rb3Au3 crystal from the Alexandria database. Energies are from PBE.

Lattice parameters (Å, degrees): 10.2161 10.2161 7.2663 90.00 90.00 120.00
Atoms (fractional coordinates):
K: 0.3333 0.6667 0.0000
K: 0.3333 0.6667 0.5000
K: 0.6667 0.3333 0.0000
K: 0.6667 0.3333 0.5000
Rb: 0.0000 0.2644 0.2500
Rb: 0.0000 0.7356 0.7500
Rb: 0.2644 0.0000 0.2500
Rb: 0.2644 0.2644 0.7500
Rb: 0.7356 0.0000 0.7500
Rb: 0.7356 0.7356 0.2500
Au: 0.0000 0.3960 0.7500
Au: 0.0000 0.6040 0.2500
Au: 0.3960 0.0000 0.7500
Au: 0.3960 0.3960 0.2500
Au: 0.6040 0.0000 0.2500
Au: 0.6040 0.6040 0.7500

Results
**Symmetry**: P6_3/mcm (193)
**E_tot**: -2.09 eV/atom
**Calculated formation energy**: -0.23 eV/atom
**Crystal system**: hexagonal